A relaxed structure of Na2NpVO8, computed with PBE+U.

Cell and atoms, written as POSCAR:
```
Na2NpVO8
1.0
6.539 0.000 0.000
-3.270 5.663 0.000
0.000 0.000 5.406
O V Na Np
8 1 2 1
Direct
0.262 0.131 0.762
0.333 0.667 0.716
0.667 0.333 0.284
0.131 0.869 0.238
0.131 0.262 0.238
0.869 0.131 0.762
0.869 0.738 0.762
0.738 0.869 0.238
0.000 0.000 0.000
0.667 0.333 0.797
0.333 0.667 0.203
0.000 0.000 0.500
```

Output
Calculated volume (Å³/cell): 200.2
VASP energy (eV per cell): -79.19